(1)
KCdAs2 | SCAN | PBEsol geometry

Unit cell a=5.365 b=5.365 c=6.210 alpha=100.02 beta=100.02 gamma=39.10
Element x y z (fractional)
1 K 0.000 0.000 0.000
2 Cd 0.500 0.500 0.500
3 As 0.250 0.250 0.642
4 As 0.750 0.750 0.358

Computed properties:
N(E_F), states/eV/cell: 0.978
Energy relative to the elements, meV/atom: -171

=====

(2)
K4TaSi | SCAN | PBEsol geometry

Unit cell a=6.460 b=6.460 c=6.460 alpha=60.00 beta=60.00 gamma=60.00
Element x y z (fractional)
1 K 0.124 0.124 0.124
2 K 0.124 0.124 0.628
3 K 0.124 0.628 0.124
4 K 0.628 0.124 0.124
5 Ta 0.500 0.500 0.500
6 Si 0.750 0.750 0.750

Computed properties:
N(E_F), states/eV/cell: 4.482
ΔE_f (raw), eV/atom: 1.36

=====

(3)
Cu3TcP | SCAN | PBEsol geometry

Unit cell a=4.181 b=4.181 c=4.181 alpha=90.00 beta=90.00 gamma=90.00
Element x y z (fractional)
1 Cu 0.000 0.000 0.500
2 Cu 0.000 0.500 0.000
3 Cu 0.500 0.000 0.000
4 Tc 0.500 0.500 0.500
5 P 0.000 0.000 0.000

Computed properties:
N(E_F), states/eV/cell: 2.285
Relative energy among the computed polymorphs, eV per atom: 0.000
Energy relative to the elements, meV/atom: 725

=====

| no. | spin magnetization (μB/atom) |
| --- | --- |
| 1 | 0.00 |
| 2 | 0.82 |
| 3 | 0.65 |